A relaxed structure of MoPS2F, computed with GGA+U.

a = 4.596 Å, b = 4.596 Å, c = 4.792 Å
α = 90.00°, β = 90.00°, γ = 90.00°
Element x y z (fractional)
1 Mo 0.000 0.000 0.000
2 P 0.000 0.000 0.500
3 S 0.500 0.000 0.000
4 F 0.500 0.500 0.500
5 S 0.000 0.500 0.000

Values from the calculation:
Polymorph energy (0 for the lowest one), meV per atom: 0
Energy, eV per atom: -4.201
Symmetry: P4/mmm (123)
Size of the total moment, μB/atom: 0.103